Entry from Alexandria: SrFeAg after structural relaxation (PBE).

Properties
space-group type: F-43m
energy relative to the elements: 1034 meV per atom

Cell and atoms, written as POSCAR:
```
SrFeAg
1.0
7.208 0.000 0.000
0.000 7.208 0.000
0.000 0.000 7.208
Sr Fe Ag
4 4 4
direct
0.000 0.000 0.000
0.000 0.500 0.500
0.500 0.000 0.500
0.500 0.500 0.000
0.250 0.250 0.750
0.250 0.750 0.250
0.750 0.250 0.250
0.750 0.750 0.750
0.250 0.250 0.250
0.250 0.750 0.750
0.750 0.250 0.750
0.750 0.750 0.250
```

=====

Entry from Alexandria: U2H2Cl7 after structural relaxation (PBE).

Properties
DFT total energy: -52.63 eV/f.u.
space-group type: C2/m

Cell and atoms, written as POSCAR:
```
U2H2Cl7
1.0
5.833 -4.175 0.000
5.833 4.175 0.000
-0.926 0.000 7.356
U H Cl
2 2 7
direct
0.241 0.241 0.042
0.759 0.759 0.958
0.200 0.800 0.500
0.800 0.200 0.500
0.000 0.000 0.000
0.075 0.503 0.785
0.436 0.436 0.227
0.497 0.925 0.215
0.503 0.075 0.785
0.564 0.564 0.773
0.925 0.497 0.215
```

=====

Entry from Alexandria: LiTeH2F after structural relaxation (PBE).

Properties
space-group type: P1
energy above the lowest structure with this stoichiometry: 34.1 kJ/mol of atoms

Cell and atoms, written as POSCAR:
```
LiTeH2F
1.0
4.861 0.000 0.000
2.337 4.281 0.000
2.423 1.451 4.579
Li Te H F
1 1 2 1
direct
0.000 0.000 0.000
0.286 0.288 0.141
0.385 0.546 0.644
0.543 0.391 0.644
0.120 0.122 0.595
```

=====

Entry from Alexandria: Cu2AgCl after structural relaxation (PBE).

Properties
space-group type: P2/m
energy above the lowest structure with this stoichiometry: 0.0 kJ/mol of atoms
ΔE_f (raw): -1.4 kJ/mol of atoms

Cell and atoms, written as POSCAR:
```
Cu2AgCl
1.0
3.620 0.000 0.000
0.000 3.174 0.000
-0.011 0.000 6.172
Cu Ag Cl
2 1 1
direct
0.000 0.000 0.198
0.000 0.000 0.802
0.500 0.500 0.000
0.000 0.500 0.500
```

=====

Entry from Alexandria: Zr2ZnSi after structural relaxation (PBE).

Properties
space-group type: P4/mmm
ΔE_f (raw): -36.4 kJ/mol of atoms

Cell and atoms, written as POSCAR:
```
Zr2ZnSi
1.0
3.015 0.000 0.000
0.000 3.015 0.000
0.000 0.000 8.045
Zr Zn Si
2 1 1
direct
0.000 0.000 0.235
0.000 0.000 0.765
0.500 0.500 0.500
0.500 0.500 0.000
```

=====

Entry from Alexandria: BaI2NO after structural relaxation (PBE).

Properties
space-group type: P4/mmm
energy above the lowest structure with this stoichiometry: 15.6 kJ/mol of atoms
ΔE_f (raw): 30.4 kJ/mol of atoms

Cell and atoms, written as POSCAR:
```
BaI2NO
1.0
4.728 0.000 0.000
0.000 4.728 0.000
0.000 0.000 5.936
Ba I N O
1 2 1 1
direct
0.000 0.000 0.000
0.000 0.500 0.500
0.500 0.000 0.500
0.500 0.500 0.000
0.500 0.500 0.500
```

=====

Entry from Alexandria: Sn3Ge4Te8 after structural relaxation (PBE).

Properties
space-group type: C2/m
ΔE_f (raw): -10.8 kJ/mol of atoms

Cell and atoms, written as POSCAR:
```
Sn3Ge4Te8
1.0
6.079 -6.105 0.000
6.079 6.105 0.000
-6.054 0.000 6.127
Sn Ge Te
3 4 8
direct
0.000 0.000 0.000
0.000 0.500 0.500
0.500 0.000 0.500
0.000 0.500 0.000
0.500 0.000 0.000
0.500 0.500 0.000
0.500 0.500 0.500
0.253 0.747 0.500
0.256 0.744 0.000
0.257 0.257 0.511
0.260 0.260 0.010
0.740 0.740 0.990
0.743 0.743 0.489
0.744 0.256 0.000
0.747 0.253 0.500
```

=====

Entry from Alexandria: Tc2HgH after structural relaxation (PBE).

Properties
space-group type: I-42d
energy above the lowest structure with this stoichiometry: 0.0 kJ/mol of atoms

Cell and atoms, written as POSCAR:
```
Tc2HgH
1.0
4.917 0.000 0.000
0.000 4.917 0.000
0.000 0.000 9.908
Tc Hg H
8 4 4
direct
0.004 0.750 0.125
0.250 0.004 0.875
0.250 0.496 0.375
0.496 0.750 0.625
0.504 0.250 0.625
0.750 0.504 0.375
0.750 0.996 0.875
0.996 0.250 0.125
0.000 0.000 0.500
0.000 0.500 0.750
0.500 0.000 0.250
0.500 0.500 0.000
0.000 0.000 0.000
0.000 0.500 0.250
0.500 0.000 0.750
0.500 0.500 0.500
```

=====

Entry from Alexandria: Dy3HPb2 after structural relaxation (PBE).

Properties
DFT total energy: -26.63 eV/f.u.
space-group type: C2/c

Cell and atoms, written as POSCAR:
```
Dy3HPb2
1.0
6.936 -3.181 0.000
6.936 3.181 0.000
-1.076 0.000 7.003
Dy H Pb
6 2 4
direct
0.093 0.907 0.750
0.303 0.444 0.351
0.444 0.303 0.851
0.556 0.697 0.149
0.697 0.556 0.649
0.907 0.093 0.250
0.429 0.571 0.750
0.571 0.429 0.250
0.135 0.230 0.041
0.230 0.135 0.541
0.770 0.865 0.459
0.865 0.770 0.959
```

=====

Entry from Alexandria: LaAuSCl2 after structural relaxation (PBE).

Properties
space-group type: P4/mmm
energy above the lowest structure with this stoichiometry: 0.0 kJ/mol of atoms
ΔE_f (raw): -86.1 kJ/mol of atoms

Cell and atoms, written as POSCAR:
```
LaAuSCl2
1.0
5.463 0.000 0.000
0.000 5.463 0.000
0.000 0.000 5.688
La Au S Cl
1 1 1 2
direct
0.000 0.000 0.000
0.500 0.500 0.500
0.000 0.000 0.500
0.000 0.500 0.000
0.500 0.000 0.000
```

=====

Entry from Alexandria: Na2TlCuN after structural relaxation (PBE).

Properties
space-group type: P4/mmm
ΔE_f (raw): 15.5 kJ/mol of atoms

Cell and atoms, written as POSCAR:
```
Na2TlCuN
1.0
5.168 0.000 0.000
0.000 5.168 0.000
0.000 0.000 3.660
Na Tl Cu N
2 1 1 1
direct
0.000 0.500 0.000
0.500 0.000 0.000
0.000 0.000 0.500
0.500 0.500 0.500
0.500 0.500 0.000
```

=====

Entry from Alexandria: Sc3TeRh after structural relaxation (PBE).

Properties
space-group type: Pm-3m
energy above the lowest structure with this stoichiometry: 0.0 kJ/mol of atoms
ΔE_f (raw): -46.9 kJ/mol of atoms

Cell and atoms, written as POSCAR:
```
Sc3TeRh
1.0
5.019 0.000 0.000
0.000 5.019 0.000
0.000 0.000 5.019
Sc Te Rh
3 1 1
direct
0.000 0.000 0.500
0.000 0.500 0.000
0.500 0.000 0.000
0.500 0.500 0.500
0.000 0.000 0.000
```

=====

Entry from Alexandria: PrSm2Er8 after structural relaxation (PBE).

Properties
space-group type: C2/m
energy above the lowest structure with this stoichiometry: 0.0 kJ/mol of atoms
energy relative to the elements: 114 meV per atom

Cell and atoms, written as POSCAR:
```
PrSm2Er8
1.0
8.976 -2.735 0.000
8.976 2.735 0.000
-3.627 0.000 7.213
Pr Sm Er
1 2 8
direct
0.000 0.000 0.000
0.300 0.300 0.301
0.700 0.700 0.699
0.140 0.140 0.433
0.140 0.140 0.848
0.338 0.338 0.838
0.500 0.500 0.294
0.500 0.500 0.706
0.662 0.662 0.162
0.860 0.860 0.152
0.860 0.860 0.567
```

=====

Entry from Alexandria: UVS3 after structural relaxation (PBE).

Properties
space-group type: Pnma
energy above the lowest structure with this stoichiometry: 0.0 kJ/mol of atoms
ΔE_f (raw): -116.5 kJ/mol of atoms

Cell and atoms, written as POSCAR:
```
UVS3
1.0
6.979 0.000 0.000
0.000 8.947 0.000
0.000 0.000 6.067
U V S
4 4 12
direct
0.115 0.250 0.055
0.385 0.750 0.555
0.615 0.250 0.445
0.885 0.750 0.945
0.000 0.000 0.500
0.000 0.500 0.500
0.500 0.000 0.000
0.500 0.500 0.000
0.042 0.750 0.355
0.184 0.561 0.838
0.184 0.939 0.838
0.316 0.061 0.338
0.316 0.439 0.338
0.458 0.250 0.855
0.542 0.750 0.145
0.684 0.561 0.662
0.684 0.939 0.662
0.816 0.061 0.162
0.816 0.439 0.162
0.958 0.250 0.645
```

=====

Entry from Alexandria: TlSnGe after structural relaxation (PBE).

Properties
space-group type: F-43m
energy above the lowest structure with this stoichiometry: 4.2 kJ/mol of atoms
energy relative to the elements: 204 meV per atom

Cell and atoms, written as POSCAR:
```
TlSnGe
1.0
7.063 0.000 0.000
0.000 7.063 0.000
0.000 0.000 7.063
Tl Sn Ge
4 4 4
direct
0.000 0.000 0.000
0.000 0.500 0.500
0.500 0.000 0.500
0.500 0.500 0.000
0.000 0.000 0.500
0.000 0.500 0.000
0.500 0.000 0.000
0.500 0.500 0.500
0.250 0.250 0.250
0.250 0.750 0.750
0.750 0.250 0.750
0.750 0.750 0.250
```

=====

Entry from Alexandria: PmTaNbGe2 after structural relaxation (PBE).

Properties
space-group type: I-4m2
energy relative to the elements: -572 meV per atom

Cell and atoms, written as POSCAR:
```
PmTaNbGe2
1.0
4.078 0.000 0.000
0.000 4.078 0.000
0.000 0.000 12.163
Pm Ta Nb Ge
2 2 2 4
direct
0.000 0.000 0.000
0.500 0.500 0.500
0.000 0.500 0.750
0.500 0.000 0.250
0.000 0.500 0.250
0.500 0.000 0.750
0.000 0.000 0.396
0.000 0.000 0.604
0.500 0.500 0.104
0.500 0.500 0.896
```

=====

Entry from Alexandria: K3RuBr7 after structural relaxation (PBE).

Properties
space-group type: Cm
ΔE_f (raw): -98.0 kJ/mol of atoms

Cell and atoms, written as POSCAR:
```
K3RuBr7
1.0
4.794 -5.176 0.000
4.794 5.176 0.000
-1.902 0.000 7.887
K Ru Br
3 1 7
direct
0.000 0.000 0.000
0.272 0.710 0.441
0.710 0.272 0.441
0.525 0.525 0.946
0.108 0.108 0.409
0.197 0.546 0.788
0.367 0.367 0.153
0.514 0.853 0.119
0.546 0.197 0.788
0.677 0.677 0.723
0.853 0.514 0.119
```

=====

Entry from Alexandria: Pm5Dy2YEr after structural relaxation (PBE).

Properties
space-group type: Cmc2_1
energy relative to the elements: 143 meV per atom

Cell and atoms, written as POSCAR:
```
Pm5Dy2YEr
1.0
2.820 -10.119 0.000
2.820 10.119 0.000
0.000 0.000 10.717
Pm Dy Y Er
10 4 2 2
direct
0.017 0.983 0.500
0.281 0.719 0.791
0.298 0.702 0.188
0.388 0.612 0.503
0.482 0.518 0.224
0.518 0.482 0.724
0.612 0.388 0.003
0.702 0.298 0.688
0.719 0.281 0.291
0.983 0.017 0.000
0.111 0.889 0.219
0.115 0.885 0.794
0.885 0.115 0.294
0.889 0.111 0.719
0.200 0.800 0.491
0.800 0.200 0.991
0.409 0.591 0.943
0.591 0.409 0.443
```

=====

Entry from Alexandria: Tb4NdSc3 after structural relaxation (PBE).

Properties
space-group type: C2/m
energy above the lowest structure with this stoichiometry: 9.4 kJ/mol of atoms
energy relative to the elements: 136 meV per atom

Cell and atoms, written as POSCAR:
```
Tb4NdSc3
1.0
11.698 0.000 0.000
0.000 12.640 0.000
-0.975 0.000 3.243
Tb Nd Sc
8 2 6
direct
0.240 0.135 0.240
0.240 0.865 0.240
0.260 0.365 0.760
0.260 0.635 0.760
0.740 0.365 0.240
0.740 0.635 0.240
0.760 0.135 0.760
0.760 0.865 0.760
0.000 0.500 0.000
0.500 0.000 0.000
0.000 0.000 0.000
0.000 0.236 0.500
0.000 0.764 0.500
0.500 0.264 0.500
0.500 0.500 0.000
0.500 0.736 0.500
```

=====

Entry from Alexandria: AcSmAgOs after structural relaxation (PBE).

Properties
space-group type: F-43m
energy relative to the elements: -38 meV per atom

Cell and atoms, written as POSCAR:
```
AcSmAgOs
1.0
7.370 0.000 0.000
0.000 7.370 0.000
0.000 0.000 7.370
Ac Sm Ag Os
4 4 4 4
direct
0.000 0.000 0.000
0.000 0.500 0.500
0.500 0.000 0.500
0.500 0.500 0.000
0.000 0.000 0.500
0.000 0.500 0.000
0.500 0.000 0.000
0.500 0.500 0.500
0.250 0.250 0.250
0.250 0.750 0.750
0.750 0.250 0.750
0.750 0.750 0.250
0.250 0.250 0.750
0.250 0.750 0.250
0.750 0.250 0.250
0.750 0.750 0.750
```

=====

Looking at N(E_F) for the records above, in order, we have 0.793 1.232 0.000 0.110 0.710 0.774 0.582 1.100 0.631 0.558 0.685 1.361 1.288 1.552 1.267 0.470 0.567 1.586 1.815 0.574 states/eV per atom.